Record 1
First-principles (PBE) data for TcGePCl2 after structural relaxation, as listed in Alexandria.

uncorrected formation energy = 0.7720 eV/atom
calculated volume = 117.3 Å³/cell
density = 3.9 g cm⁻³
uncorrected energy = -4.05 eV per atom

a = 4.795 Å, b = 4.795 Å, c = 5.099 Å
α = 90.00°, β = 90.00°, γ = 90.00°
Last column: magnetic moment on the atom in μB.
Atoms (fractional coordinates):
Cl1 0.500 0.000 0.000  0.04
Cl2 0.000 0.500 0.000  0.04
Ge1 0.000 0.000 0.000  -0.03
Tc1 0.500 0.500 0.500  3.92
P1 0.000 0.000 0.500  -0.07

***

Record 2
First-principles (PBE) data for K2LaZn after structural relaxation, as listed in Alexandria.

calculated volume = 155.0 Å³/cell
density = 3.0 g cm⁻³
uncorrected energy = -1.75 eV per atom
ΔH_f (0 K) = 0.348 eV per atom

a = 4.049 Å, b = 5.595 Å, c = 6.841 Å
α = 90.00°, β = 90.00°, γ = 90.00°
Atoms (fractional coordinates):
K1 0.000 0.000 0.000
K2 0.500 0.500 0.000
Zn1 0.000 0.500 0.500
La1 0.500 0.000 0.500

***

Record 3
First-principles (PBE) data for LiGe3S after structural relaxation, as listed in Alexandria.

uncorrected formation energy = 0.5058 eV/atom
calculated volume = 97.7 Å³/cell
density = 4.4 g cm⁻³
uncorrected energy = -3.47 eV per atom

a = 4.605 Å, b = 4.605 Å, c = 4.605 Å
α = 90.00°, β = 90.00°, γ = 90.00°
Atoms (fractional coordinates):
Ge1 0.000 0.500 0.000
Ge2 0.000 0.000 0.500
Ge3 0.500 0.000 0.000
Li1 0.000 0.000 0.000
S1 0.500 0.500 0.500

***

Record 4
First-principles (PBE) data for Cr2CoSe after structural relaxation, as listed in Alexandria.

uncorrected formation energy = 0.2949 eV/atom
calculated volume = 48.8 Å³/cell
density = 8.2 g cm⁻³
uncorrected energy = -7.16 eV per atom

a = 4.762 Å, b = 4.762 Å, c = 4.762 Å
α = 142.74°, β = 130.94°, γ = 63.18°
Atoms (fractional coordinates):
Cr1 0.515 0.515 0.000
Cr2 0.985 0.985 0.000
Se1 0.750 0.250 0.500
Co1 0.250 0.750 0.500

***

Record 5
First-principles (PBE) data for ScNF3 after structural relaxation, as listed in Alexandria.

uncorrected formation energy = -0.4788 eV/atom
calculated volume = 59.8 Å³/cell
density = 3.2 g cm⁻³
uncorrected energy = -4.53 eV per atom

a = 3.909 Å, b = 3.909 Å, c = 3.909 Å
α = 90.00°, β = 90.00°, γ = 90.00°
Last column: magnetic moment on the atom in μB.
Atoms (fractional coordinates):
F1 0.000 0.000 0.500  -0.01
F2 0.000 0.500 0.000  0.00
F3 0.500 0.000 0.000  0.00
Sc1 0.500 0.500 0.500  -0.74
N1 0.000 0.000 0.000  0.06

***

Record 6
First-principles (PBE) data for ErV3 after structural relaxation, as listed in Alexandria.

calculated volume = 70.4 Å³/cell
density = 7.5 g cm⁻³
uncorrected energy = -7.53 eV per atom
ΔH_f (0 K) = 0.449 eV per atom

a = 3.303 Å, b = 4.328 Å, c = 4.927 Å
α = 90.00°, β = 90.00°, γ = 90.00°
Atoms (fractional coordinates):
Er1 0.000 0.500 0.362
V1 0.500 0.000 0.540
V2 0.000 0.000 0.912
V3 0.500 0.500 0.852

***

Record 7
First-principles (PBE) data for LaTcTe2 after structural relaxation, as listed in Alexandria.

uncorrected formation energy = -0.2192 eV/atom
calculated volume = 96.5 Å³/cell
density = 8.5 g cm⁻³
uncorrected energy = -5.61 eV per atom

a = 3.595 Å, b = 3.595 Å, c = 7.602 Å
α = 90.00°, β = 90.00°, γ = 100.95°
Atoms (fractional coordinates):
La1 0.500 0.500 0.250
Te1 0.000 0.000 0.962
Te2 0.000 0.000 0.538
Tc1 0.500 0.500 0.750

***

Record 8
First-principles (PBE) data for Er2ScAs after structural relaxation, as listed in Alexandria.

calculated volume = 111.4 Å³/cell
density = 6.8 g cm⁻³
uncorrected energy = -5.54 eV per atom
ΔH_f (0 K) = -0.515 eV per atom

a = 3.773 Å, b = 3.773 Å, c = 9.294 Å
α = 78.29°, β = 78.29°, γ = 60.00°
Last column: magnetic moment on the atom in μB.
Atoms (fractional coordinates):
Er1 0.269 0.269 0.193  0.11
Er2 0.731 0.731 0.807  0.11
Sc1 0.500 0.500 0.500  0.44
As1 0.000 0.000 0.000  0.01

***

Record 9
First-principles (PBE) data for U2BiP after structural relaxation, as listed in Alexandria.

calculated volume = 102.3 Å³/cell
density = 11.6 g cm⁻³
uncorrected energy = -8.29 eV per atom
ΔH_f (0 K) = -0.326 eV per atom

a = 3.798 Å, b = 3.798 Å, c = 8.482 Å
α = 77.06°, β = 77.06°, γ = 60.00°
Last column: magnetic moment on the atom in μB.
Atoms (fractional coordinates):
U1 0.068 0.068 0.797  2.31
U2 0.266 0.266 0.203  2.38
P1 0.667 0.667 0.999  -0.07
Bi1 0.500 0.500 0.501  0.00

***

Record 10
First-principles (PBE) data for Al2ReGe after structural relaxation, as listed in Alexandria.

calculated volume = 63.5 Å³/cell
density = 8.2 g cm⁻³
uncorrected energy = -6.09 eV per atom
ΔH_f (0 K) = 0.044 eV per atom

a = 2.968 Å, b = 2.968 Å, c = 8.496 Å
α = 79.94°, β = 79.94°, γ = 60.00°
Atoms (fractional coordinates):
Al1 0.254 0.254 0.237
Al2 0.746 0.746 0.763
Ge1 0.500 0.500 0.500
Re1 0.000 0.000 0.000

***

Record 11
First-principles (PBE) data for RbInPb after structural relaxation, as listed in Alexandria.

calculated volume = 214.7 Å³/cell
density = 6.3 g cm⁻³
uncorrected energy = -2.55 eV per atom
ΔH_f (0 K) = -0.079 eV per atom

a = 5.450 Å, b = 5.450 Å, c = 8.346 Å
α = 90.00°, β = 90.00°, γ = 120.00°
Atoms (fractional coordinates):
Rb1 0.667 0.333 0.000
Rb2 0.667 0.333 0.500
Pb1 0.000 0.000 0.293
Pb2 0.000 0.000 0.707
In1 0.333 0.667 0.194
In2 0.333 0.667 0.806

***

Record 12
First-principles (PBE) data for HfCd2Sn after structural relaxation, as listed in Alexandria.

calculated volume = 86.8 Å³/cell
density = 10.0 g cm⁻³
uncorrected energy = -4.03 eV per atom
ΔH_f (0 K) = -0.085 eV per atom

a = 4.670 Å, b = 4.312 Å, c = 4.312 Å
α = 90.00°, β = 90.00°, γ = 90.00°
Atoms (fractional coordinates):
Cd1 0.000 0.000 0.500
Cd2 0.000 0.500 0.000
Sn1 0.500 0.500 0.500
Hf1 0.500 0.000 0.000